This record from the Alexandria database describes an optimized crystal structure of Mo2OsPt. The functional is PBE-GGA.

Results
Energy above the lowest structure with this stoichiometry in eV per atom: 0.218
Space group: R3m, No. 160

a = 9.469 Å, b = 9.469 Å, c = 9.469 Å
α = 16.80°, β = 16.80°, γ = 16.80°
Element x y z (fractional)
Mo 0.000 0.000 0.000
Mo 0.245 0.245 0.245
Os 0.501 0.501 0.501
Pt 0.748 0.748 0.748

=====

This record from the Alexandria database describes an optimized crystal structure of Dy7Pb4N. The functional is PBE-GGA.

Results
Energy relative to the elements, uncorrected in eV per atom: -0.4495
Space group: C2/m, No. 12

a = 8.591 Å, b = 8.591 Å, c = 11.182 Å
α = 126.47°, β = 126.47°, γ = 34.01°
Element x y z (fractional)
Dy 0.000 0.000 0.000
Dy 0.136 0.136 0.545
Dy 0.281 0.281 0.140
Dy 0.437 0.437 0.761
Dy 0.563 0.563 0.239
Dy 0.719 0.719 0.860
Dy 0.864 0.864 0.455
Pb 0.081 0.081 0.785
Pb 0.221 0.221 0.346
Pb 0.779 0.779 0.654
Pb 0.919 0.919 0.215
N 0.500 0.500 0.000

=====

This record from the Alexandria database describes an optimized crystal structure of CaCuSb. The functional is PBE-GGA.

Results
Energy relative to the elements, uncorrected in eV per atom: 0.8088
Space group: P6_3/mmc, No. 194

a = 4.661 Å, b = 4.661 Å, c = 12.413 Å
α = 90.00°, β = 90.00°, γ = 120.00°
Element x y z (fractional)
Ca 0.000 0.000 0.250
Ca 0.000 0.000 0.750
Cu 0.333 0.667 0.250
Cu 0.667 0.333 0.750
Sb 0.000 0.000 0.000
Sb 0.000 0.000 0.500

=====

This record from the Alexandria database describes an optimized crystal structure of Y3HgH. The functional is PBE-GGA.

Results
Energy above the lowest structure with this stoichiometry in eV per atom: 0.000
Space group: Pm-3m, No. 221

a = 4.833 Å, b = 4.833 Å, c = 4.833 Å
α = 90.00°, β = 90.00°, γ = 90.00°
Element x y z (fractional)
Y 0.000 0.000 0.500
Y 0.000 0.500 0.000
Y 0.500 0.000 0.000
Hg 0.500 0.500 0.500
H 0.000 0.000 0.000

=====

This record from the Alexandria database describes an optimized crystal structure of TiRe2Os. The functional is PBE-GGA.

Results
Energy above the lowest structure with this stoichiometry in eV per atom: 0.596
Space group: I-42d, No. 122

a = 5.712 Å, b = 5.712 Å, c = 5.712 Å
α = 101.61°, β = 101.61°, γ = 126.69°
Element x y z (fractional)
Ti 0.000 0.000 0.000
Ti 0.750 0.250 0.500
Re 0.147 0.625 0.022
Re 0.375 0.397 0.522
Re 0.603 0.125 0.978
Re 0.875 0.853 0.478
Os 0.250 0.750 0.500
Os 0.500 0.500 0.000

=====

This record from the Alexandria database describes an optimized crystal structure of Sc2AuCl. The functional is PBE-GGA.

Results
Energy relative to the elements, uncorrected in eV per atom: -0.7914
Energy above the lowest structure with this stoichiometry in eV per atom: 0.175
Space group: R3m, No. 160

a = 9.814 Å, b = 9.814 Å, c = 9.814 Å
α = 20.08°, β = 20.08°, γ = 20.08°
Element x y z (fractional)
Sc 0.000 0.000 0.000
Sc 0.244 0.244 0.244
Au 0.510 0.510 0.510
Cl 0.725 0.725 0.725

=====

This record from the Alexandria database describes an optimized crystal structure of FeAu4. The functional is PBE-GGA.

Results
Energy in eV per cell: -21.3
Space group: I4/mmm, No. 139

a = 10.359 Å, b = 10.359 Å, c = 10.359 Å
α = 163.95°, β = 163.95°, γ = 22.78°
Element x y z (fractional)
Fe 0.000 0.000 0.000
Au 0.197 0.197 0.000
Au 0.410 0.410 0.000
Au 0.590 0.590 0.000
Au 0.803 0.803 0.000

=====

This record from the Alexandria database describes an optimized crystal structure of AgAs3Se. The functional is PBE-GGA.

Results
Energy relative to the elements, uncorrected in eV per atom: 1.0100
Energy above the lowest structure with this stoichiometry in eV per atom: 0.087
Space group: Pm-3m, No. 221

a = 4.994 Å, b = 4.994 Å, c = 4.994 Å
α = 90.00°, β = 90.00°, γ = 90.00°
Element x y z (fractional)
Ag 0.000 0.000 0.000
As 0.000 0.000 0.500
As 0.000 0.500 0.000
As 0.500 0.000 0.000
Se 0.500 0.500 0.500

=====

This record from the Alexandria database describes an optimized crystal structure of PrNiPd. The functional is PBE-GGA.

Results
Energy in eV per cell: -17.2
Space group: P-6m2, No. 187

a = 4.297 Å, b = 4.297 Å, c = 3.904 Å
α = 90.00°, β = 90.00°, γ = 120.00°
Element x y z (fractional)
Pr 0.000 0.000 0.000
Ni 0.667 0.333 0.500
Pd 0.333 0.667 0.500

=====

This record from the Alexandria database describes an optimized crystal structure of CaEuAgSb. The functional is PBE-GGA.

Results
Energy relative to the elements, uncorrected in eV per atom: -0.7024
Space group: F-43m, No. 216

a = 5.417 Å, b = 5.417 Å, c = 5.417 Å
α = 60.00°, β = 60.00°, γ = 60.00°
Element x y z (fractional)
Ca 0.000 0.000 0.000
Eu 0.500 0.500 0.500
Ag 0.750 0.750 0.750
Sb 0.250 0.250 0.250

=====

This record from the Alexandria database describes an optimized crystal structure of Li2ThAgCl8. The functional is PBE-GGA.

Results
Energy relative to the elements, uncorrected in eV per atom: -1.5537
Space group: P-1, No. 2

a = 6.802 Å, b = 6.989 Å, c = 8.597 Å
α = 76.24°, β = 86.44°, γ = 72.03°
Element x y z (fractional)
Li 0.030 0.134 0.297
Li 0.970 0.866 0.703
Th 0.500 0.500 0.000
Ag 0.500 0.500 0.500
Cl 0.187 0.804 0.477
Cl 0.202 0.854 0.904
Cl 0.246 0.352 0.213
Cl 0.382 0.343 0.767
Cl 0.618 0.657 0.233
Cl 0.754 0.648 0.787
Cl 0.798 0.146 0.096
Cl 0.813 0.196 0.523

=====

This record from the Alexandria database describes an optimized crystal structure of Tb2Ho6Tm3Mg. The functional is PBE-GGA.

Results
Energy in eV per cell: -51.4
Space group: C2/m, No. 12

a = 6.063 Å, b = 6.063 Å, c = 11.588 Å
α = 95.03°, β = 95.03°, γ = 120.02°
Element x y z (fractional)
Tb 0.166 0.834 0.000
Tb 0.834 0.166 0.000
Ho 0.084 0.417 0.749
Ho 0.250 0.250 0.251
Ho 0.417 0.084 0.749
Ho 0.583 0.916 0.251
Ho 0.750 0.750 0.749
Ho 0.916 0.583 0.251
Tm 0.000 0.000 0.500
Tm 0.334 0.666 0.500
Tm 0.666 0.334 0.500
Mg 0.500 0.500 0.000